# PBE-GGA Nd7Dy2Er3, optimized geometry
data_Nd7Dy2Er3
_chemical_formula_sum 'Nd7 Dy2 Er3'
_cell_length_a 5.519
_cell_length_b 6.283
_cell_length_c 12.335
_cell_angle_alpha 89.81
_cell_angle_beta 89.99
_cell_angle_gamma 89.83
_space_group_name_H-M_alt 'P -1'
_space_group_IT_number 2
loop_
_space_group_symop_operation_xyz
'x,y,z'
'-x,-y,-z'
loop_
_atom_site_label
_atom_site_type_symbol
_atom_site_fract_x
_atom_site_fract_y
_atom_site_fract_z
Nd1 Nd 0.000 0.000 0.000
Nd2 Nd 0.000 0.444 0.816
Nd3 Nd 0.498 0.244 0.545
Nd4 Nd 0.500 0.089 0.828
Dy1 Dy 0.500 0.387 0.277
Er1 Er 0.000 0.066 0.344
Er2 Er 0.500 0.500 0.000
# Offset from the most stable computed form, meV per atom: 192



# PBE-GGA Nd8Dy6Er, optimized geometry
data_Nd8Dy6Er
_chemical_formula_sum 'Nd24 Dy18 Er3'
_cell_length_a 9.8499
_cell_length_b 9.8499
_cell_length_c 18.0033
_cell_angle_alpha 90.00
_cell_angle_beta 90.00
_cell_angle_gamma 120.00
_space_group_name_H-M_alt 'R -3'
_space_group_IT_number 148
_space_group_name_Hall '-R 3'
loop_
_atom_site_label
_atom_site_type_symbol
_atom_site_fract_x
_atom_site_fract_y
_atom_site_fract_z
Nd1 Nd 0.0000 0.0000 0.0865
Nd2 Nd 0.0551 0.8158 0.6708
Dy1 Dy 0.0389 0.7524 0.1770
Er1 Er 0.0000 0.0000 0.5000
# Offset from the most stable computed form, meV per atom: 47



Nd6DyEr4: optimized geometry, PBE-GGA.

Geometry as CIF:
```
data_Nd6DyEr4
_chemical_formula_sum 'Nd12 Dy2 Er8'
_cell_length_a 6.747
_cell_length_b 6.747
_cell_length_c 16.703
_cell_angle_alpha 90.00
_cell_angle_beta 90.00
_cell_angle_gamma 90.00
_space_group_name_H-M_alt 'I -4 2 m'
_space_group_IT_number 121
_space_group_name_Hall 'I -4 2'
loop_
_atom_site_label
_atom_site_type_symbol
_atom_site_fract_x
_atom_site_fract_y
_atom_site_fract_z
Nd1 Nd 0.000 0.500 0.000
Nd2 Nd 0.191 0.191 0.177
Dy1 Dy 0.000 0.000 0.000
Er1 Er 0.177 0.177 0.381
```



# PBE-GGA Nd4DyEr, optimized geometry
data_Nd4DyEr
_chemical_formula_sum 'Nd8 Dy2 Er2'
_cell_length_a 11.721
_cell_length_b 11.727
_cell_length_c 3.488
_cell_angle_alpha 90.00
_cell_angle_beta 90.00
_cell_angle_gamma 90.00
_space_group_name_H-M_alt 'C m m m'
_space_group_IT_number 65
_space_group_name_Hall '-C 2 2'
loop_
_atom_site_label
_atom_site_type_symbol
_atom_site_fract_x
_atom_site_fract_y
_atom_site_fract_z
Nd1 Nd 0.000 0.239 0.000
Nd2 Nd 0.240 0.500 0.500
Dy1 Dy 0.000 0.500 0.000
Er1 Er 0.000 0.000 0.500
# Offset from the most stable computed form, meV per atom: 553



# PBE-GGA Nd2Dy5Er4, optimized geometry
data_Nd2Dy5Er4
_chemical_formula_sum 'Nd4 Dy10 Er8'
_cell_length_a 17.135
_cell_length_b 3.525
_cell_length_c 11.685
_cell_angle_alpha 90.00
_cell_angle_beta 95.23
_cell_angle_gamma 90.00
_space_group_name_H-M_alt 'C 1 2/m 1'
_space_group_IT_number 12
loop_
_space_group_symop_operation_xyz
'x,y,z'
'-x,-y,-z'
'-x,y,-z'
'x,-y,z'
'x+1/2,y+1/2,z'
'-x+1/2,-y+1/2,-z'
'-x+1/2,y+1/2,-z'
'x+1/2,-y+1/2,z'
loop_
_atom_site_label
_atom_site_type_symbol
_atom_site_fract_x
_atom_site_fract_y
_atom_site_fract_z
Nd1 Nd 0.136 0.000 0.314
Dy1 Dy 0.000 0.000 0.500
Dy2 Dy 0.042 0.500 0.783
Dy3 Dy 0.093 0.000 0.044
Er1 Er 0.179 0.500 0.574
Er2 Er 0.231 0.000 0.854
# Offset from the most stable computed form, meV per atom: 0



# PBE-GGA Nd12Dy5Er2, optimized geometry
data_Nd12Dy5Er2
_chemical_formula_sum 'Nd24 Dy10 Er4'
_cell_length_a 15.958
_cell_length_b 9.305
_cell_length_c 8.771
_cell_angle_alpha 90.00
_cell_angle_beta 92.14
_cell_angle_gamma 90.00
_space_group_name_H-M_alt 'C 1 2/m 1'
_space_group_IT_number 12
loop_
_space_group_symop_operation_xyz
'x,y,z'
'-x,-y,-z'
'-x,y,-z'
'x,-y,z'
'x+1/2,y+1/2,z'
'-x+1/2,-y+1/2,-z'
'-x+1/2,y+1/2,-z'
'x+1/2,-y+1/2,z'
loop_
_atom_site_label
_atom_site_type_symbol
_atom_site_fract_x
_atom_site_fract_y
_atom_site_fract_z
Nd1 Nd 0.060 0.000 0.343
Nd2 Nd 0.081 0.500 0.883
Nd3 Nd 0.129 0.197 0.680
Nd4 Nd 0.151 0.318 0.237
Dy1 Dy 0.000 0.500 0.500
Dy2 Dy 0.203 0.000 0.029
Dy3 Dy 0.231 0.500 0.567
Er1 Er 0.000 0.171 0.000
# Offset from the most stable computed form, meV per atom: 0



# PBE-GGA NdDyEr2, optimized geometry
data_NdDyEr2
_chemical_formula_sum 'Nd3 Dy3 Er6'
_cell_length_a 3.5854
_cell_length_b 3.5854
_cell_length_c 34.4263
_cell_angle_alpha 90.00
_cell_angle_beta 90.00
_cell_angle_gamma 120.00
_space_group_name_H-M_alt 'R 3 m'
_space_group_IT_number 160
_space_group_name_Hall 'R 3 -2"'
loop_
_atom_site_label
_atom_site_type_symbol
_atom_site_fract_x
_atom_site_fract_y
_atom_site_fract_z
Nd1 Nd 0.0000 0.0000 0.0000
Dy1 Dy 0.0000 0.0000 0.8341
Er1 Er 0.0000 0.0000 0.4183
Er2 Er 0.0000 0.0000 0.5823
# Offset from the most stable computed form, meV per atom: 9



# PBE-GGA Nd2Dy2Er, optimized geometry
data_Nd2Dy2Er
_chemical_formula_sum 'Nd8 Dy8 Er4'
_cell_length_a 3.647
_cell_length_b 5.730
_cell_length_c 31.779
_cell_angle_alpha 90.00
_cell_angle_beta 90.00
_cell_angle_gamma 90.00
_space_group_name_H-M_alt 'I m m a'
_space_group_IT_number 74
_space_group_name_Hall '-I 2b 2'
loop_
_atom_site_label
_atom_site_type_symbol
_atom_site_fract_x
_atom_site_fract_y
_atom_site_fract_z
Nd1 Nd 0.000 0.250 0.022
Nd2 Nd 0.000 0.250 0.121
Dy1 Dy 0.000 0.250 0.291
Dy2 Dy 0.000 0.250 0.804
Er1 Er 0.000 0.250 0.581
# Offset from the most stable computed form, meV per atom: 115



NdDy7Er5: optimized geometry, PBE-GGA.

Geometry as CIF:
```
data_NdDy7Er5
_chemical_formula_sum 'Nd2 Dy14 Er10'
_cell_length_a 6.652
_cell_length_b 11.108
_cell_length_c 11.504
_cell_angle_alpha 90.00
_cell_angle_beta 90.00
_cell_angle_gamma 90.00
_space_group_name_H-M_alt 'I m m 2'
_space_group_IT_number 44
loop_
_space_group_symop_operation_xyz
'x,y,z'
'-x,-y,z'
'-x,y,z'
'x,-y,z'
'x+1/2,y+1/2,z+1/2'
'-x+1/2,-y+1/2,z+1/2'
'-x+1/2,y+1/2,z+1/2'
'x+1/2,-y+1/2,z+1/2'
loop_
_atom_site_label
_atom_site_type_symbol
_atom_site_fract_x
_atom_site_fract_y
_atom_site_fract_z
Nd1 Nd 0.000 0.000 0.000
Dy1 Dy 0.000 0.000 0.303
Dy2 Dy 0.000 0.000 0.610
Dy3 Dy 0.000 0.328 0.052
Dy4 Dy 0.000 0.330 0.553
Dy5 Dy 0.000 0.500 0.299
Er1 Er 0.000 0.500 0.805
Er2 Er 0.235 0.230 0.802
```



# PBE-GGA NdDy3Er7, optimized geometry
data_NdDy3Er7
_chemical_formula_sum 'Nd1 Dy3 Er7'
_cell_length_a 6.899
_cell_length_b 5.494
_cell_length_c 9.851
_cell_angle_alpha 90.00
_cell_angle_beta 109.39
_cell_angle_gamma 90.00
_space_group_name_H-M_alt 'P 1 2/m 1'
_space_group_IT_number 10
loop_
_space_group_symop_operation_xyz
'x,y,z'
'-x,-y,-z'
'-x,y,-z'
'x,-y,z'
loop_
_atom_site_label
_atom_site_type_symbol
_atom_site_fract_x
_atom_site_fract_y
_atom_site_fract_z
Nd1 Nd 0.000 0.000 0.000
Dy1 Dy 0.277 0.500 0.495
Dy2 Dy 0.500 0.000 0.000
Er1 Er 0.000 0.000 0.500
Er2 Er 0.150 0.500 0.790
Er3 Er 0.323 0.500 0.142
Er4 Er 0.427 0.000 0.332
# Offset from the most stable computed form, meV per atom: 0



Nd3Dy4Er8: optimized geometry, PBE-GGA.

Geometry as CIF:
```
data_Nd3Dy4Er8
_chemical_formula_sum 'Nd6 Dy8 Er16'
_cell_length_a 13.336
_cell_length_b 12.810
_cell_length_c 6.709
_cell_angle_alpha 90.00
_cell_angle_beta 120.14
_cell_angle_gamma 90.00
_space_group_name_H-M_alt 'C 1 2/m 1'
_space_group_IT_number 12
loop_
_space_group_symop_operation_xyz
'x,y,z'
'-x,-y,-z'
'-x,y,-z'
'x,-y,z'
'x+1/2,y+1/2,z'
'-x+1/2,-y+1/2,-z'
'-x+1/2,y+1/2,-z'
'x+1/2,-y+1/2,z'
loop_
_atom_site_label
_atom_site_type_symbol
_atom_site_fract_x
_atom_site_fract_y
_atom_site_fract_z
Nd1 Nd 0.000 0.000 0.000
Nd2 Nd 0.250 0.250 0.000
Dy1 Dy 0.000 0.500 0.000
Dy2 Dy 0.000 0.500 0.500
Dy3 Dy 0.250 0.250 0.500
Er1 Er 0.000 0.139 0.500
Er2 Er 0.000 0.247 0.000
Er3 Er 0.233 0.000 0.966
Er4 Er 0.238 0.000 0.492
```



# PBE-GGA Nd8DyEr2, optimized geometry
data_Nd8DyEr2
_chemical_formula_sum 'Nd16 Dy2 Er4'
_cell_length_a 10.432
_cell_length_b 13.582
_cell_length_c 5.490
_cell_angle_alpha 90.00
_cell_angle_beta 90.00
_cell_angle_gamma 90.00
_space_group_name_H-M_alt 'C m m m'
_space_group_IT_number 65
_space_group_name_Hall '-C 2 2'
loop_
_atom_site_label
_atom_site_type_symbol
_atom_site_fract_x
_atom_site_fract_y
_atom_site_fract_z
Nd1 Nd 0.000 0.247 0.000
Nd2 Nd 0.165 0.000 0.000
Nd3 Nd 0.165 0.365 0.500
Dy1 Dy 0.000 0.500 0.000
Er1 Er 0.000 0.119 0.500
# Offset from the most stable computed form, meV per atom: 0



# PBE-GGA Nd3Dy4Er5, optimized geometry
data_Nd3Dy4Er5
_chemical_formula_sum 'Nd3 Dy4 Er5'
_cell_length_a 6.164
_cell_length_b 7.121
_cell_length_c 8.718
_cell_angle_alpha 89.97
_cell_angle_beta 89.85
_cell_angle_gamma 89.80
_space_group_name_H-M_alt 'P -1'
_space_group_IT_number 2
loop_
_space_group_symop_operation_xyz
'x,y,z'
'-x,-y,-z'
loop_
_atom_site_label
_atom_site_type_symbol
_atom_site_fract_x
_atom_site_fract_y
_atom_site_fract_z
Nd1 Nd 0.000 0.000 0.000
Nd2 Nd 0.167 0.250 0.334
Dy1 Dy 0.169 0.749 0.333
Dy2 Dy 0.333 0.500 0.668
Er1 Er 0.000 0.500 0.000
Er2 Er 0.335 0.000 0.668
Er3 Er 0.499 0.749 0.000
# Offset from the most stable computed form, meV per atom: 0



# PBE-GGA Nd3Dy3Er2, optimized geometry
data_Nd3Dy3Er2
_chemical_formula_sum 'Nd6 Dy6 Er4'
_cell_length_a 5.942
_cell_length_b 5.944
_cell_length_c 14.829
_cell_angle_alpha 90.00
_cell_angle_beta 90.00
_cell_angle_gamma 90.00
_space_group_name_H-M_alt 'I m m m'
_space_group_IT_number 71
_space_group_name_Hall '-I 2 2'
loop_
_atom_site_label
_atom_site_type_symbol
_atom_site_fract_x
_atom_site_fract_y
_atom_site_fract_z
Nd1 Nd 0.000 0.000 0.000
Nd2 Nd 0.000 0.500 0.130
Dy1 Dy 0.000 0.000 0.500
Dy2 Dy 0.000 0.500 0.374
Er1 Er 0.000 0.000 0.251
# Offset from the most stable computed form, meV per atom: 100



# PBE-GGA Nd2Dy7Er, optimized geometry
data_Nd2Dy7Er
_chemical_formula_sum 'Nd4 Dy14 Er2'
_cell_length_a 6.506
_cell_length_b 28.837
_cell_length_c 3.508
_cell_angle_alpha 90.00
_cell_angle_beta 90.00
_cell_angle_gamma 90.00
_space_group_name_H-M_alt 'C m m m'
_space_group_IT_number 65
_space_group_name_Hall '-C 2 2'
loop_
_atom_site_label
_atom_site_type_symbol
_atom_site_fract_x
_atom_site_fract_y
_atom_site_fract_z
Nd1 Nd 0.000 0.207 0.000
Dy1 Dy 0.000 0.000 0.000
Dy2 Dy 0.000 0.315 0.500
Dy3 Dy 0.246 0.403 0.000
Er1 Er 0.000 0.500 0.500
# Offset from the most stable computed form, meV per atom: 0



# PBE-GGA Nd2DyEr5, optimized geometry
data_Nd2DyEr5
_chemical_formula_sum 'Nd4 Dy2 Er10'
_cell_length_a 6.056
_cell_length_b 8.981
_cell_length_c 10.365
_cell_angle_alpha 107.22
_cell_angle_beta 99.57
_cell_angle_gamma 99.00
_space_group_name_H-M_alt 'P -1'
_space_group_IT_number 2
loop_
_space_group_symop_operation_xyz
'x,y,z'
'-x,-y,-z'
loop_
_atom_site_label
_atom_site_type_symbol
_atom_site_fract_x
_atom_site_fract_y
_atom_site_fract_z
Nd1 Nd 0.009 0.143 0.283
Nd2 Nd 0.295 0.819 0.190
Dy1 Dy 0.000 0.500 0.500
Dy2 Dy 0.500 0.500 0.000
Er1 Er 0.039 0.572 0.860
Er2 Er 0.156 0.196 0.641
Er3 Er 0.296 0.128 0.026
Er4 Er 0.409 0.835 0.544
Er5 Er 0.468 0.462 0.325
# Offset from the most stable computed form, meV per atom: 105



# PBE-GGA Nd7Dy2Er2, optimized geometry
data_Nd7Dy2Er2
_chemical_formula_sum 'Nd14 Dy4 Er4'
_cell_length_a 11.470
_cell_length_b 11.531
_cell_length_c 6.124
_cell_angle_alpha 90.00
_cell_angle_beta 112.01
_cell_angle_gamma 90.00
_space_group_name_H-M_alt 'C 1 2/m 1'
_space_group_IT_number 12
loop_
_space_group_symop_operation_xyz
'x,y,z'
'-x,-y,-z'
'-x,y,-z'
'x,-y,z'
'x+1/2,y+1/2,z'
'-x+1/2,-y+1/2,-z'
'-x+1/2,y+1/2,-z'
'x+1/2,-y+1/2,z'
loop_
_atom_site_label
_atom_site_type_symbol
_atom_site_fract_x
_atom_site_fract_y
_atom_site_fract_z
Nd1 Nd 0.000 0.000 0.000
Nd2 Nd 0.076 0.500 0.800
Nd3 Nd 0.182 0.232 0.180
Dy1 Dy 0.227 0.000 0.590
Er1 Er 0.000 0.215 0.500
# Offset from the most stable computed form, meV per atom: 7



# PBE-GGA NdDy3Er7, optimized geometry
data_NdDy3Er7
_chemical_formula_sum 'Nd1 Dy3 Er7'
_cell_length_a 7.0068
_cell_length_b 7.0068
_cell_length_c 8.5626
_cell_angle_alpha 90.00
_cell_angle_beta 90.00
_cell_angle_gamma 120.00
_space_group_name_H-M_alt 'P 3 m 1'
_space_group_IT_number 156
loop_
_space_group_symop_operation_xyz
'x,y,z'
'-y,x-y,z'
'-x+y,-x,z'
'-y,-x,z'
'-x+y,y,z'
'x,x-y,z'
loop_
_atom_site_label
_atom_site_type_symbol
_atom_site_fract_x
_atom_site_fract_y
_atom_site_fract_z
Nd1 Nd 0.0000 0.0000 0.0000
Dy1 Dy 0.1672 0.3345 0.6624
Er1 Er 0.0023 0.5012 0.9996
Er2 Er 0.3316 0.1658 0.3298
Er3 Er 0.3333 0.6667 0.3280
# Offset from the most stable computed form, meV per atom: 43



# PBE-GGA Nd2DyEr, optimized geometry
data_Nd2DyEr
_chemical_formula_sum 'Nd6 Dy3 Er3'
_cell_length_a 3.6079
_cell_length_b 3.6079
_cell_length_c 34.9988
_cell_angle_alpha 90.00
_cell_angle_beta 90.00
_cell_angle_gamma 120.00
_space_group_name_H-M_alt 'R -3 m'
_space_group_IT_number 166
_space_group_name_Hall '-R 3 2"'
loop_
_atom_site_label
_atom_site_type_symbol
_atom_site_fract_x
_atom_site_fract_y
_atom_site_fract_z
Nd1 Nd 0.0000 0.0000 0.2503
Dy1 Dy 0.0000 0.0000 0.5000
Er1 Er 0.0000 0.0000 0.0000
# Offset from the most stable computed form, meV per atom: 0



NdDy7Er5: optimized geometry, PBE-GGA.

Geometry as CIF:
```
data_NdDy7Er5
_chemical_formula_sum 'Nd2 Dy14 Er10'
_cell_length_a 6.673
_cell_length_b 11.055
_cell_length_c 11.518
_cell_angle_alpha 90.00
_cell_angle_beta 90.00
_cell_angle_gamma 90.00
_space_group_name_H-M_alt 'I m m 2'
_space_group_IT_number 44
loop_
_space_group_symop_operation_xyz
'x,y,z'
'-x,-y,z'
'-x,y,z'
'x,-y,z'
'x+1/2,y+1/2,z+1/2'
'-x+1/2,-y+1/2,z+1/2'
'-x+1/2,y+1/2,z+1/2'
'x+1/2,-y+1/2,z+1/2'
loop_
_atom_site_label
_atom_site_type_symbol
_atom_site_fract_x
_atom_site_fract_y
_atom_site_fract_z
Nd1 Nd 0.000 0.000 0.000
Dy1 Dy 0.000 0.000 0.304
Dy2 Dy 0.000 0.000 0.610
Dy3 Dy 0.000 0.328 0.551
Dy4 Dy 0.000 0.329 0.053
Dy5 Dy 0.000 0.500 0.803
Er1 Er 0.000 0.500 0.300
Er2 Er 0.234 0.230 0.801
```



no.,D(E_F) (states/eV/f.u.),total magnetic moment (Bohr magnetons per cell),E_form (kJ/mol of formula units)
1,18.4,0.00,328
2,22.6,0.03,245
3,16.4,0.00,322
4,10.0,0.00,354
5,18.1,0.00,57
6,26.4,0.00,214
7,6.2,0.01,4
8,7.2,0.00,65
9,25.6,0.00,314
10,17.8,0.00,163
11,29.8,0.01,571
12,17.6,0.00,168
13,15.5,0.00,22
14,17.4,0.00,94
15,15.5,0.00,150
16,11.1,0.00,98
17,15.7,0.00,147
18,17.3,0.00,208
19,4.5,0.00,5
20,24.5,0.00,311